The following is a GGA+U calculation of a relaxed KNbFeO4 crystal, from the Alexandria database.

Geometry as CIF:
```
data_KNbFeO4
_chemical_formula_sum 'K2 Nb2 Fe2 O8'
_cell_length_a 5.946
_cell_length_b 6.225
_cell_length_c 7.229
_cell_angle_alpha 90.00
_cell_angle_beta 104.37
_cell_angle_gamma 90.00
_space_group_name_H-M_alt 'P 1 21/m 1'
_space_group_IT_number 11
_space_group_name_Hall '-P 2yb'
loop_
_atom_site_label
_atom_site_type_symbol
_atom_site_fract_x
_atom_site_fract_y
_atom_site_fract_z
_atom_site_occupancy
K1 K 0.228 0.250 0.457 1
Nb1 Nb 0.214 0.750 0.171 1
Fe1 Fe 0.385 0.250 0.010 1
O1 O 0.050 0.250 0.036 1
O2 O 0.139 0.750 0.401 1
O3 O 0.437 0.530 0.165 1
```

Values from the calculation:
The calculation puts the total energy at -7.24 eV/atom.